Crystalline SmGa2IrPd at its relaxed geometry, computed with PBE.

Results
Total magnetization, μB/cell: 0.05
E, eV/atom: -5.723

Cell lengths 4.228, 4.228, 10.581 Å; angles 90.00, 90.00, 90.00 degrees
Sites, in units of the cell vectors:
Ga  0.000  0.000  0.500
Ga  0.000  0.500  0.133
Ga  0.500  0.500  0.500
Ga  0.500  0.000  0.867
Pd  0.500  0.500  0.000
Pd  0.000  0.000  0.000
Sm  0.500  0.000  0.260
Sm  0.000  0.500  0.740
Ir  0.000  0.500  0.365
Ir  0.500  0.000  0.635


Crystalline Y3Te5Os at its relaxed geometry, computed with PBE.

Results
Total magnetization, μB/cell: 0.01
E, eV/atom: -5.891

Cell lengths 8.367, 8.367, 4.437 Å; angles 90.00, 90.00, 120.00 degrees
Sites, in units of the cell vectors:
Te  0.310  0.310  0.000
Te  0.000  0.690  0.000
Te  0.690  0.000  0.000
Te  0.333  0.667  0.500
Te  0.667  0.333  0.500
Y  0.000  0.259  0.500
Y  0.741  0.741  0.500
Y  0.259  0.000  0.500
Os  0.000  0.000  0.000


Crystalline NiHgSbOs at its relaxed geometry, computed with PBE.

Results
Total magnetization, μB/cell: 0.07
E, eV/atom: -4.366

Cell lengths 4.644, 4.644, 4.644 Å; angles 60.00, 60.00, 60.00 degrees
Sites, in units of the cell vectors:
Ni  0.750  0.750  0.750
Sb  0.000  0.000  0.000
Os  0.500  0.500  0.500
Hg  0.250  0.250  0.250